The following is a DFT calculation (PBE) of a relaxed Cs2GaTe4 crystal.

POSCAR file:
```
Cs2GaTe4
1.0
5.7492 0.0000 0.0000
0.0000 5.7492 0.0000
2.8746 2.8746 9.4258
Cs Ga Te
2 1 4
direct
0.3535 0.3535 0.2930
0.6465 0.6465 0.7070
0.0000 0.0000 0.0000
0.8607 0.8607 0.2787
0.5000 0.0000 0.0000
0.1393 0.1393 0.7213
0.0000 0.5000 0.0000
```

M_tot = 0.0 μB/cell
SG = I4/mmm (139)
Uncorrected energy = -19.74 eV per cell
Formation energy (no corrections) = -0.349 eV per atom